! CsMgCrF6, optimized geometry, DFT PBE with a Hubbard U; values from VASP
&SYSTEM
  ibrav = 0, nat = 9, ntyp = 4
/
ATOMIC_SPECIES
Cs 132.91 Cs.upf
Mg 24.30 Mg.upf
Cr 52.00 Cr.upf
F 19.00 F.upf
ATOMIC_POSITIONS angstrom
Cs -7.901 1.677 2.491
Mg -3.821 -0.216 2.367
Cr -5.985 -2.398 2.701
F -6.385 -2.567 0.789
F -5.865 -2.504 4.653
F -5.805 -0.446 2.715
F -7.940 -2.291 2.750
F -4.065 -2.231 2.359
F -5.856 -4.340 2.927
CELL_PARAMETERS angstrom
-4.589 -2.249 -1.583
-1.906 -4.292 2.577
-3.312 3.927 4.072
! **Space-group type**: C2 (5)
! **Electronic total energy**: -5.4300 eV/atom